The following is a GGA-PBE calculation of a relaxed structure of TbDyB2Ir2O2, from the Open Quantum Materials Database.

a = 3.822 Å, b = 3.822 Å, c = 7.241 Å
α = 90.00°, β = 90.00°, γ = 90.00°
Positions (direct):
Ir1 0.000 0.500 0.499
B1 0.000 0.000 0.654
O1 0.000 0.000 0.865
Dy1 0.000 0.000 0.186
Ir2 0.500 0.000 0.499
B2 0.500 0.500 0.346
O2 0.500 0.500 0.136
Tb1 0.500 0.500 0.815

raw total energy = -7.9183 eV/atom
crystal system = tetragonal
space-group type = No. 99